Entry 1:
A plane-wave DFT calculation with PBE was carried out for LaSm12Dy7 after structural relaxation.

Cell and atoms, written as extended XYZ:
```
20
Lattice="-2.322 5.034 -8.277 9.856 0.310 1.420 -2.922 -9.477 -0.947" Properties=species:S:1:pos:R:3 pbc="T T T"
La 0.000 0.000 0.000
Sm 4.023 -4.365 -3.684
Sm 4.259 2.836 -7.461
Sm 0.588 0.232 -4.120
Sm 0.352 -6.969 -0.343
Sm -2.474 1.316 -6.400
Sm 0.905 -3.151 -6.169
Sm 7.085 -5.448 -1.404
Sm 3.706 -0.981 -1.635
Sm 4.180 -0.647 -5.561
Sm 0.431 -3.486 -2.243
Sm -2.125 -5.651 -6.738
Sm 6.736 1.519 -1.066
Dy 3.767 2.672 -3.429
Dy 3.467 -4.583 0.237
Dy -2.622 -2.221 -4.612
Dy 2.306 -2.066 -3.902
Dy -1.461 -4.738 -0.473
Dy -1.161 2.517 -4.139
Dy 4.928 0.155 0.710
```

Results
magnetic moment: 0.000 μB per atom
formation enthalpy at 0 K: 0.6617 eV/atom
total DFT energy (no corrections): -4.027 eV per atom
excess energy over the best structure of this formula in the dataset: 501 meV/atom

Entry 2:
A plane-wave DFT calculation with PBE was carried out for La2Sm7Dy2 after structural relaxation.

Cell and atoms, written as extended XYZ:
```
22
Lattice="-2.986 -7.845 -2.110 1.289 -5.733 -6.355 11.897 2.387 13.169" Properties=species:S:1:pos:R:3 pbc="T T T"
La 5.169 -0.265 5.866
La -1.623 -12.468 -7.046
La 11.823 1.277 11.751
La 5.030 -10.926 -1.162
Sm 5.011 -2.488 2.992
Sm 1.639 -4.375 -1.319
Sm 3.444 -5.401 1.591
Sm 0.339 -7.075 0.834
Sm 10.233 -1.653 10.299
Sm 6.882 -3.531 5.967
Sm 10.113 -3.851 7.459
Sm 0.086 -7.340 -2.755
Sm 3.318 -7.660 -1.262
Sm -0.033 -9.537 -5.594
Sm 9.861 -4.116 3.870
Sm 6.756 -5.790 3.114
Sm 8.561 -6.815 6.024
Sm 5.189 -8.703 1.712
Dy 1.786 -2.174 1.528
Dy 8.457 -0.623 7.395
Dy 1.743 -10.567 -2.691
Dy 8.414 -9.016 3.176
```

Results
magnetic moment: 0.000 μB per atom
formation enthalpy at 0 K: 0.0312 eV/atom
total DFT energy (no corrections): -4.705 eV per atom
excess energy over the best structure of this formula in the dataset: 0 meV/atom

Entry 3:
A plane-wave DFT calculation with PBE was carried out for La6Sm3Dy after structural relaxation.

Cell and atoms, written as extended XYZ:
```
20
Lattice="6.619 0.000 0.000 0.000 11.067 -1.830 0.000 -4.253 10.380" Properties=species:S:1:pos:R:3 pbc="T T T"
La 0.362 5.194 5.272
La 3.671 3.980 6.240
La 2.442 1.736 8.704
La 5.752 8.097 3.634
La 2.371 10.588 -1.448
La 4.382 0.080 6.926
La 1.072 6.733 1.624
La 5.680 -3.774 9.998
La 2.442 -1.284 4.915
La 5.752 5.078 -0.154
La 0.362 2.834 2.310
La 3.671 1.619 3.278
Sm 3.076 7.444 5.606
Sm 6.385 3.804 8.508
Sm 0.548 1.634 5.688
Sm 3.857 5.179 2.862
Sm 6.385 -0.631 2.943
Sm 3.076 3.010 0.042
Dy 0.699 -1.369 8.081
Dy 4.008 8.183 0.469
```

Results
magnetic moment: 0.000 μB per atom
formation enthalpy at 0 K: 0.1177 eV/atom
total DFT energy (no corrections): -4.715 eV per atom

Entry 4:
A plane-wave DFT calculation with PBE was carried out for La3SmDy3 after structural relaxation.

Cell and atoms, written as extended XYZ:
```
14
Lattice="-5.084 -0.529 -6.597 1.686 -6.851 -4.458 -5.840 -5.827 1.260" Properties=species:S:1:pos:R:3 pbc="T T T"
La -8.526 -6.600 -4.455
La -3.635 -10.317 -4.058
La -4.168 -6.427 -8.800
La -5.070 -6.780 -0.995
La -5.603 -2.890 -5.737
La -0.712 -6.607 -5.339
Sm -3.776 -5.398 -4.003
Sm -5.462 -7.809 -5.791
Dy -8.265 -9.843 -5.792
Dy -7.030 -8.470 -8.807
Dy -5.202 -10.991 -7.133
Dy -4.036 -2.216 -2.662
Dy -2.208 -4.737 -0.988
Dy -0.973 -3.364 -4.003
```

Results
magnetic moment: 0.000 μB per atom
formation enthalpy at 0 K: 0.1297 eV/atom
total DFT energy (no corrections): -4.629 eV per atom
excess energy over the best structure of this formula in the dataset: 92 meV/atom

Entry 5:
A plane-wave DFT calculation with PBE was carried out for La6SmDy4 after structural relaxation.

Cell and atoms, written as extended XYZ:
```
22
Lattice="5.942 0.000 0.000 -2.971 4.930 0.000 0.000 0.000 26.318" Properties=species:S:1:pos:R:3 pbc="T T T"
La 2.971 0.000 0.000
La 2.971 0.000 13.159
La 0.000 1.259 8.382
La 2.971 3.670 17.936
La 2.971 3.670 21.541
La 0.000 1.259 4.777
La 2.971 3.004 10.571
La 0.000 1.926 15.748
La 0.000 1.926 23.730
La 2.971 3.004 2.588
La 0.000 4.459 6.580
La 2.971 0.470 19.739
Sm 2.971 2.892 6.580
Sm 0.000 2.037 19.739
Dy 2.971 3.419 14.350
Dy 0.000 4.560 3.279
Dy 0.000 1.511 11.968
Dy 2.971 0.370 23.039
Dy 2.971 3.419 25.127
Dy 0.000 1.511 1.191
Dy 2.971 0.370 16.438
Dy 0.000 4.560 9.880
```

Results
magnetic moment: 0.000 μB per atom
formation enthalpy at 0 K: 0.1017 eV/atom
total DFT energy (no corrections): -4.688 eV per atom

Entry 6:
A plane-wave DFT calculation with PBE was carried out for La5Sm5Dy after structural relaxation.

Cell and atoms, written as extended XYZ:
```
11
Lattice="-0.048 -2.318 -5.696 0.400 -7.806 6.494 -6.713 2.276 -0.870" Properties=species:S:1:pos:R:3 pbc="T T T"
La -0.238 -6.839 -0.534
La -3.683 -5.679 -0.977
La -0.024 -1.159 -2.848
La -2.678 -2.169 0.906
La -6.123 -1.009 0.462
Sm -1.008 -3.803 -1.764
Sm -4.094 -1.962 -2.487
Sm -3.357 1.138 -0.435
Sm -2.268 -5.886 2.415
Sm -5.354 -4.045 1.692
Dy 0.000 0.000 0.000
```

Results
magnetic moment: 0.000 μB per atom
formation enthalpy at 0 K: 0.2296 eV/atom
total DFT energy (no corrections): -4.574 eV per atom

Entry 7:
A plane-wave DFT calculation with PBE was carried out for La4Sm5Dy3 after structural relaxation.

Cell and atoms, written as extended XYZ:
```
12
Lattice="-0.527 -0.009 -6.017 7.532 -2.597 -3.688 -6.634 -6.813 -2.440" Properties=species:S:1:pos:R:3 pbc="T T T"
La 0.866 -1.003 -6.138
La -3.790 -4.393 -2.693
La 4.160 -5.026 -9.452
La -0.495 -8.416 -6.008
Sm 1.490 -7.890 -9.214
Sm 0.185 -4.710 -6.073
Sm 2.557 -1.935 -3.253
Sm -2.187 -7.484 -8.892
Sm -1.120 -1.529 -2.931
Dy 3.127 -3.651 -6.332
Dy 0.449 -4.705 -3.064
Dy -2.756 -5.768 -5.813
```

Results
magnetic moment: 0.000 μB per atom
formation enthalpy at 0 K: 0.2071 eV/atom
total DFT energy (no corrections): -4.552 eV per atom

Entry 8:
A plane-wave DFT calculation with PBE was carried out for LaSm3Dy4 after structural relaxation.

Cell and atoms, written as extended XYZ:
```
16
Lattice="-6.051 1.791 -0.270 -1.457 -4.028 5.949 2.388 9.080 6.733" Properties=species:S:1:pos:R:3 pbc="T T T"
La -1.423 -1.251 2.192
La -3.619 3.178 6.910
Sm -4.838 -1.370 3.564
Sm -6.258 1.509 5.163
Sm -2.864 1.626 3.758
Sm -0.244 3.309 5.537
Sm -1.665 6.186 7.139
Sm -5.069 6.029 8.514
Dy -2.175 -3.268 5.180
Dy -4.094 0.673 0.544
Dy -5.517 3.546 2.154
Dy -3.598 -0.413 6.767
Dy -0.980 1.263 8.557
Dy -2.907 5.207 3.921
Dy -2.398 4.148 10.149
Dy -4.329 8.065 5.504
```

Results
magnetic moment: 0.000 μB per atom
formation enthalpy at 0 K: 0.0281 eV/atom
total DFT energy (no corrections): -4.659 eV per atom
excess energy over the best structure of this formula in the dataset: 0 meV/atom

Entry 9:
A plane-wave DFT calculation with PBE was carried out for La3SmDy7 after structural relaxation.

Cell and atoms, written as extended XYZ:
```
11
Lattice="6.722 0.463 -0.081 0.878 8.578 1.087 -0.534 0.212 6.566" Properties=species:S:1:pos:R:3 pbc="T T T"
La 1.034 7.246 2.201
La 3.361 0.231 -0.041
La 6.032 2.007 5.370
Sm 3.533 4.626 3.786
Dy 5.254 2.251 2.010
Dy 5.202 7.769 4.558
Dy 2.163 3.733 0.519
Dy 4.902 5.520 7.053
Dy 0.172 4.395 3.827
Dy 1.864 1.484 3.014
Dy 1.812 7.002 5.562
```

Results
magnetic moment: 0.000 μB per atom
formation enthalpy at 0 K: 0.1186 eV/atom
total DFT energy (no corrections): -4.583 eV per atom
excess energy over the best structure of this formula in the dataset: 0 meV/atom

Entry 10:
A plane-wave DFT calculation with PBE was carried out for La4SmDy3 after structural relaxation.

Cell and atoms, written as extended XYZ:
```
16
Lattice="6.408 0.000 0.000 0.000 7.374 0.000 0.000 0.000 11.755" Properties=species:S:1:pos:R:3 pbc="T T T"
La 0.919 6.437 0.000
La 4.217 0.956 0.000
La 6.266 0.925 3.002
La 3.063 6.449 2.876
La 1.014 6.417 5.878
La 4.123 0.936 5.878
La 3.063 6.449 8.879
La 6.266 0.925 8.754
Sm 0.966 2.769 0.000
Sm 4.169 4.605 5.878
Dy 4.153 4.564 0.000
Dy 6.276 4.575 2.934
Dy 3.072 2.799 2.943
Dy 0.949 2.810 5.878
Dy 3.072 2.799 8.812
Dy 6.276 4.575 8.821
```

Results
magnetic moment: 0.000 μB per atom
formation enthalpy at 0 K: 0.0336 eV/atom
total DFT energy (no corrections): -4.746 eV per atom
excess energy over the best structure of this formula in the dataset: 8 meV/atom

Entry 11:
A plane-wave DFT calculation with PBE was carried out for La8Sm3Dy after structural relaxation.

Cell and atoms, written as extended XYZ:
```
12
Lattice="8.382 -1.289 -2.499 -5.898 6.461 -1.276 1.023 1.289 8.687" Properties=species:S:1:pos:R:3 pbc="T T T"
La 3.120 1.152 0.848
La 0.386 5.310 4.064
La -3.885 5.309 1.253
La 7.391 1.152 3.658
La 0.329 1.922 2.850
La 5.635 0.634 -1.673
La -2.128 5.828 6.584
La 3.178 4.539 2.062
Sm -0.020 4.592 0.030
Sm 3.527 1.869 4.881
Sm 5.944 2.586 1.206
Dy 9.405 0.000 6.188
```

Results
magnetic moment: 0.000 μB per atom
formation enthalpy at 0 K: 0.2919 eV/atom
total DFT energy (no corrections): -4.556 eV per atom

Entry 12:
A plane-wave DFT calculation with PBE was carried out for La4SmDy10 after structural relaxation.

Cell and atoms, written as extended XYZ:
```
15
Lattice="-4.342 -8.872 4.259 4.153 -6.934 3.373 -2.207 -1.431 8.354" Properties=species:S:1:pos:R:3 pbc="T T T"
La 0.252 -8.887 8.913
La -4.022 -12.109 11.427
La 1.625 -5.128 4.559
La -2.649 -8.351 7.073
Sm 0.000 0.000 0.000
Dy -0.113 -6.401 6.928
Dy -3.022 -8.370 10.983
Dy -0.900 -2.283 3.580
Dy -0.112 -12.126 11.048
Dy -0.759 -11.696 6.360
Dy 0.625 -8.868 5.003
Dy -2.284 -10.837 9.057
Dy -1.638 -5.541 9.625
Dy -2.284 -5.112 4.937
Dy -1.496 -14.954 12.406
```

Results
magnetic moment: 0.000 μB per atom
formation enthalpy at 0 K: 0.3448 eV/atom
total DFT energy (no corrections): -4.352 eV per atom

Entry 13:
A plane-wave DFT calculation with PBE was carried out for La8Sm2Dy after structural relaxation.

Cell and atoms, written as extended XYZ:
```
11
Lattice="6.002 -0.605 -0.908 -1.870 9.400 -1.148 -1.870 -4.680 8.232" Properties=species:S:1:pos:R:3 pbc="T T T"
La 1.964 4.878 3.719
La 1.964 1.553 5.934
La -0.374 2.557 3.837
La 1.132 6.210 0.322
La 1.132 -2.095 5.855
La 2.637 1.558 2.339
La 0.299 2.562 0.243
La 0.299 -0.763 2.458
Sm -1.870 -0.315 5.325
Sm -1.870 5.035 1.760
Dy 3.001 -0.302 -0.454
```

Results
magnetic moment: 0.000 μB per atom
formation enthalpy at 0 K: 0.1220 eV/atom
total DFT energy (no corrections): -4.738 eV per atom
excess energy over the best structure of this formula in the dataset: 105 meV/atom

Entry 14:
A plane-wave DFT calculation with PBE was carried out for La8Sm3Dy2 after structural relaxation.

Cell and atoms, written as extended XYZ:
```
13
Lattice="-5.498 -0.308 -2.146 -0.887 -10.634 3.799 -4.289 7.537 3.209" Properties=species:S:1:pos:R:3 pbc="T T T"
La -8.011 1.647 2.739
La -2.663 -5.052 2.122
La -4.327 -3.837 5.135
La -6.346 0.432 -0.274
La -4.105 -7.533 3.937
La -3.628 -1.805 1.891
La -7.046 -1.601 2.971
La -6.568 4.128 0.925
Sm -2.749 -0.154 -1.073
Sm -0.228 -2.736 0.977
Sm -0.659 -7.898 2.821
Dy -5.908 -4.755 2.197
Dy -4.765 1.349 2.664
```

Results
magnetic moment: 0.000 μB per atom
formation enthalpy at 0 K: 0.1474 eV/atom
total DFT energy (no corrections): -4.682 eV per atom
excess energy over the best structure of this formula in the dataset: 0 meV/atom

Entry 15:
A plane-wave DFT calculation with PBE was carried out for La6Sm5Dy2 after structural relaxation.

Cell and atoms, written as extended XYZ:
```
26
Lattice="3.675 0.000 0.000 0.000 11.800 0.000 0.000 0.000 21.227" Properties=species:S:1:pos:R:3 pbc="T T T"
La 0.000 1.992 8.082
La 0.000 9.808 13.146
La 0.000 7.892 2.532
La 0.000 3.908 18.695
La 1.837 4.954 3.170
La 1.837 6.845 18.057
La 1.837 10.854 7.443
La 1.837 0.946 13.784
La 0.000 8.435 9.517
La 0.000 3.365 11.711
La 0.000 2.535 1.097
La 0.000 9.265 20.130
Sm 1.837 5.267 8.983
Sm 1.837 6.533 12.244
Sm 1.837 11.167 1.631
Sm 1.837 0.633 19.597
Sm 1.837 7.706 5.950
Sm 1.837 4.094 15.277
Sm 1.837 1.806 4.664
Sm 1.837 9.993 16.564
Sm 1.837 5.900 0.000
Sm 1.837 0.000 10.614
Dy 0.000 4.639 6.088
Dy 0.000 7.161 15.139
Dy 0.000 10.539 4.525
Dy 0.000 1.261 16.702
```

Results
magnetic moment: 0.000 μB per atom
formation enthalpy at 0 K: 0.0706 eV/atom
total DFT energy (no corrections): -4.727 eV per atom

Entry 16:
A plane-wave DFT calculation with PBE was carried out for La6SmDy5 after structural relaxation.

Cell and atoms, written as extended XYZ:
```
12
Lattice="5.039 -0.005 -1.413 -3.584 8.442 -3.110 -0.005 0.062 9.684" Properties=species:S:1:pos:R:3 pbc="T T T"
Dy 1.916 1.460 6.839
Dy -1.198 2.854 5.421
Dy 0.725 4.249 2.581
Dy 2.647 5.645 -0.260
Dy -0.467 7.039 -1.678
Sm 0.000 0.000 0.000
La 0.961 0.731 3.429
La 1.683 4.970 6.003
La 2.883 2.133 0.590
La -1.434 6.366 4.571
La -0.234 3.529 -0.842
La 0.489 7.767 1.732
```

Results
magnetic moment: 0.000 μB per atom
formation enthalpy at 0 K: 0.0217 eV/atom
total DFT energy (no corrections): -4.753 eV per atom

Entry 17:
A plane-wave DFT calculation with PBE was carried out for LaSm10Dy6 after structural relaxation.

Cell and atoms, written as extended XYZ:
```
17
Lattice="6.889 0.000 0.000 0.000 8.499 -4.907 0.000 0.000 9.814" Properties=species:S:1:pos:R:3 pbc="T T T"
La 3.444 0.000 0.000
Sm 5.639 6.144 3.547
Sm 5.639 0.000 2.719
Sm 5.639 2.355 -1.359
Sm 1.250 2.355 1.359
Sm 1.250 0.000 7.095
Sm 1.250 6.144 -3.547
Sm 3.444 2.833 4.907
Sm 3.444 5.666 0.000
Sm 0.000 5.666 0.000
Sm 0.000 2.833 4.907
Dy 4.786 3.184 1.838
Dy 4.786 0.000 6.138
Dy 4.786 5.315 -3.069
Dy 2.103 5.315 3.069
Dy 2.103 0.000 3.676
Dy 2.103 3.184 -1.838
```

Results
magnetic moment: 0.000 μB per atom
formation enthalpy at 0 K: 0.1331 eV/atom
total DFT energy (no corrections): -4.557 eV per atom

Entry 18:
A plane-wave DFT calculation with PBE was carried out for La4SmDy4 after structural relaxation.

Cell and atoms, written as extended XYZ:
```
9
Lattice="5.817 0.934 -3.472 -0.519 5.869 -3.472 0.150 0.192 9.128" Properties=species:S:1:pos:R:3 pbc="T T T"
La 3.983 1.846 0.434
La 0.815 4.314 0.434
La 1.539 1.976 3.110
La 3.306 4.245 -2.145
Sm 4.438 5.698 0.142
Dy 3.721 4.777 3.413
Dy 0.776 4.948 -3.387
Dy 1.256 1.613 6.643
Dy 4.607 1.964 -3.387
```

Results
magnetic moment: 0.000 μB per atom
formation enthalpy at 0 K: 0.2237 eV/atom
total DFT energy (no corrections): -4.536 eV per atom
excess energy over the best structure of this formula in the dataset: 196 meV/atom